# 1
AcSi2HgPt5, optimized geometry, DFT GGA-PBE; symmetry = No. 123; formation energy (no corrections) = -633 meV/atom
1.0
-1.510 -3.862 -0.028
3.792 -1.477 -0.794
1.936 -0.837 10.801
Ac Si Hg Pt
1 2 1 5
Cartesian
0.968 -0.418 5.401
1.692 -2.908 2.662
2.526 -3.268 7.317
0.000 0.000 0.000
2.249 -0.891 1.571
-0.402 -2.083 1.954
3.480 -1.423 8.436
0.828 -2.615 8.819
2.109 -3.088 4.989



# 2
Y2C, optimized geometry, DFT GGA-PBE; symmetry = No. 63; energy relative to the elements = -0.6 eV/f.u.
1.0
-3.406 6.853 -2.299
3.325 -7.156 -1.260
-4.613 -2.195 0.292
C Y
2 4
Cartesian
3.086 -6.659 -1.297
-1.734 -2.524 -1.539
0.483 -1.242 -1.699
-0.973 1.789 -1.924
-4.406 3.037 -1.952
0.868 -7.941 -1.137



# 3
ZrBe, optimized geometry, DFT GGA-PBE; symmetry = No. 59; energy relative to the elements = 0.5 eV/f.u.
1.0
-3.084 -0.445 -0.710
0.676 -3.991 -0.435
-1.066 -0.736 5.095
Be Zr
2 2
Cartesian
-0.064 -0.044 0.305
-1.940 -2.726 2.943
-0.603 -0.416 2.881
-1.401 -2.354 0.368



# 4
KZrAg2F8, optimized geometry, DFT GGA-PBE; symmetry = No. 2; formation energy (no corrections) = -2455 meV/atom
1.0
4.946 -0.140 0.039
-0.097 5.533 0.173
0.084 0.259 7.635
K Zr Ag F
1 1 2 8
Cartesian
0.042 0.129 3.818
0.000 0.000 0.000
2.307 2.833 5.730
2.626 2.818 2.117
0.687 4.430 1.690
3.244 4.085 0.282
4.151 1.062 1.481
4.247 1.222 6.157
1.689 1.567 7.565
0.782 4.590 6.366
2.737 4.083 4.001
2.196 1.569 3.845



Calculated DFT total energy in order - -5.684 -7.589 -5.898 -4.982 eV/atom